No. 1
PBE-GGA Y4Zn3, optimized geometry; V = 24.2 A^3/atom; offset from the most stable computed form = 83.0 meV/atom; DFT formation energy = -0.89 eV per formula unit; uncorrected energy = -4.367 eV per atom; Fermi-level density of states = 9.8 states/eV/cell
1.0
2.145 3.161 4.104
-5.480 -1.186 -0.052
1.073 -5.105 3.371
Zn Y
3 4
Cartesian
1.073 1.581 2.052
-2.740 -0.593 -0.026
-1.667 0.987 2.026
-2.402 -2.290 3.019
0.813 -3.866 2.553
0.140 -0.841 4.404
0.260 -1.239 0.818

No. 2
PBE-GGA Zr4AgSb, optimized geometry; V = 22.7 A^3/atom; formation energy from raw total energies = 0.2272 eV/atom; uncorrected energy = -6.634 eV per atom; Fermi-level density of states = 5.9 states/eV/cell
1.0
2.528 -4.444 2.689
-1.124 -1.021 5.573
-3.126 -4.614 1.518
Zr Sb Ag
4 1 1
Cartesian
-1.208 -4.289 6.456
0.620 -6.003 5.013
-0.646 -3.778 3.666
-2.211 -6.088 4.426
0.000 0.000 0.000
-1.292 -7.559 7.335

No. 3
PBE-GGA CdSn2Os2, optimized geometry; V = 21.3 A^3/atom; offset from the most stable computed form = 212.7 meV/atom; DFT formation energy = 2.75 eV per formula unit; uncorrected energy = -5.726 eV per atom; Fermi-level density of states = 4.5 states/eV/cell
1.0
-3.103 -1.783 2.456
2.358 -3.627 0.345
2.117 -0.645 6.043
Os Sn Cd
2 2 1
Cartesian
1.205 -3.797 6.436
0.168 -2.258 2.407
2.051 -3.489 3.894
-0.679 -2.567 4.949
0.000 0.000 0.000

No. 4
PBE-GGA CaTa2Mo, optimized geometry; V = 19.9 A^3/atom; DFT formation energy = 2.15 eV per formula unit; uncorrected energy = -8.597 eV per atom; Fermi-level density of states = 4.4 states/eV/cell
1.0
2.806 0.000 0.000
0.000 2.806 0.000
0.000 0.000 10.126
Mo Ta Ca
1 2 1
Cartesian
1.403 1.403 7.800
0.000 0.000 10.098
1.403 1.403 2.258
0.000 0.000 5.159

No. 5
PBE-GGA YTe2Pb, optimized geometry; V = 38.2 A^3/atom; formation energy from raw total energies = -0.7822 eV/atom; uncorrected energy = -4.896 eV per atom; Fermi-level density of states = 1.4 states/eV/cell
1.0
2.419 0.000 10.053
-1.210 2.095 10.053
-1.210 -2.095 10.053
Y Te Pb
1 2 1
Cartesian
0.000 0.000 15.080
0.000 0.000 3.174
0.000 0.000 26.986
0.000 0.000 0.000

No. 6
PBE-GGA Na2Pb8Au, optimized geometry; V = 30.2 A^3/atom; offset from the most stable computed form = 36.3 meV/atom; DFT formation energy = -0.57 eV per formula unit; uncorrected energy = -3.286 eV per atom; Fermi-level density of states = 4.0 states/eV/cell
1.0
-0.507 -4.576 0.551
6.116 -0.253 3.528
-7.753 4.010 6.658
Au Na Pb
1 2 8
Cartesian
-0.253 -2.288 0.275
-3.819 -1.296 5.232
1.675 0.477 5.504
-6.399 -0.702 7.794
-5.789 1.256 5.109
4.255 -0.117 2.942
0.646 -2.023 3.301
-2.789 1.204 7.435
-1.302 0.622 3.968
3.645 -2.076 5.627
-0.842 -1.441 6.768

No. 7
PBE-GGA Li2TiPd6, optimized geometry; V = 16.1 A^3/atom; DFT formation energy = -1.71 eV per formula unit; uncorrected energy = -4.954 eV per atom; Fermi-level density of states = 4.0 states/eV/cell
1.0
4.145 0.000 -0.156
0.000 5.798 0.000
-1.832 -2.899 6.093
Pd Ti Li
6 1 2
Cartesian
2.073 1.472 -0.078
2.234 1.422 3.928
0.079 1.477 2.009
0.079 4.321 2.009
2.234 -1.422 3.928
2.073 4.326 -0.078
0.000 0.000 0.000
0.163 0.000 3.979
2.150 2.899 1.958

No. 8
PBE-GGA Rb4U3TiO12, optimized geometry; V = 15.5 A^3/atom; formation energy from raw total energies = -2.7588 eV/atom; uncorrected energy = -8.015 eV per atom; Fermi-level density of states = 11.4 states/eV/cell
1.0
7.378 0.000 0.000
-2.459 6.956 0.000
-2.459 -3.478 6.024
O U Rb Ti
12 3 4 1
Cartesian
3.714 5.252 0.000
3.689 2.608 1.506
3.714 -2.626 4.549
-1.205 0.852 1.475
-1.230 0.869 4.518
-3.714 2.626 4.549
1.230 -0.869 4.518
-1.230 3.478 3.012
3.689 0.000 3.012
1.230 4.347 1.506
1.205 1.703 0.000
1.205 -0.852 1.475
-2.459 1.739 3.012
2.459 -1.739 3.012
2.459 3.478 0.000
1.230 1.739 3.012
3.689 0.000 0.000
-1.230 -1.739 3.012
-1.230 3.478 0.000
0.000 0.000 0.000

Q: What is the formula in the seventh record?
A: Li2TiPd6